First-principles (PBE-GGA) data for a relaxed Pu2CrMoN5 crystal, as listed in Alexandria.

Lattice parameters (Å, degrees): 6.6143 6.6143 9.9224 90.00 90.00 151.92
Fractional positions:
Pu1 0.1068 0.8932 0.5000
Pu2 0.1472 0.8528 0.1147
Pu3 0.8528 0.1472 0.6147
Pu4 0.8932 0.1068 0.0000
Cr1 0.4720 0.5280 0.2708
Cr2 0.5280 0.4720 0.7708
Mo1 0.2095 0.7905 0.8221
Mo2 0.7905 0.2095 0.3221
N1 0.0483 0.9517 0.8651
N2 0.2839 0.7161 0.4655
N3 0.3232 0.6768 0.1792
N4 0.3709 0.6291 0.8108
N5 0.4872 0.5128 0.5937
N6 0.5128 0.4872 0.0937
N7 0.6291 0.3709 0.3108
N8 0.6768 0.3232 0.6792
N9 0.7161 0.2839 0.9655
N10 0.9517 0.0483 0.3651

Results
energy relative to the elements, uncorrected: -839 meV per atom
crystal system: orthorhombic
size of the total moment: 0.53 μB/f.u.
raw total energy: -10.92 eV/atom